A plane-wave DFT calculation with PBE was carried out for an optimized crystal structure of PuSiOs.

Geometry as POSCAR:
```
PuSiOs
1.0
-0.991 2.045 4.073
-1.281 -2.397 0.892
6.056 -3.703 3.332
Pu Si Os
2 2 2
direct
0.250 0.107 0.786 Pu
0.750 0.893 0.214 Pu
0.250 0.443 0.115 Si
0.750 0.557 0.885 Si
0.750 0.718 0.564 Os
0.250 0.282 0.436 Os
```

Results
E_form (uncorrected)	0.0301	eV per atom
final energy	-10.298	eV per atom